VASP calculation (GGA-PBE) on a geometry-optimized ThPaTe4 structure.

Calculated values
**Formation energy from raw total energies**: -850 meV per atom
**Space-group type**: No. 65
**ΔE to the lowest computed polymorph**: 0.94 eV per formula unit

POSCAR file:
```
ThPaTe4
1.0
-0.229 2.356 3.884
-6.297 -3.435 1.713
3.830 -5.285 3.432
Te Th Pa
4 1 1
Cartesian
-3.408 -2.805 4.165
-0.716 0.634 4.900
-1.980 -6.997 4.129
0.712 -3.558 4.864
-1.233 -4.360 2.573
-0.115 1.178 1.942
```



VASP calculation (GGA-PBE) on a geometry-optimized DyLuBe4 structure.

Calculated values
**Calculated total energy**: -3.94 eV per atom
**Space-group type**: No. 216

POSCAR file:
```
DyLuBe4
1.0
4.989 0.000 0.000
2.494 4.320 0.000
2.494 1.440 4.073
Be Dy Lu
4 1 1
Cartesian
6.239 3.602 2.547
4.989 2.880 0.505
4.989 1.436 2.547
3.738 3.602 2.547
0.000 0.000 0.000
2.494 1.440 1.018
```



VASP calculation (GGA-PBE) on a geometry-optimized EuH2 structure.

Calculated values
**Calculated total energy**: -6.25 eV per atom
**Space-group type**: No. 62

POSCAR file:
```
EuH2
1.0
-2.758 2.328 -0.790
-2.143 -3.919 -4.066
-3.952 -2.995 4.970
H Eu
8 4
Cartesian
-3.076 -2.445 -0.787
-1.484 -0.091 0.592
-5.778 -2.141 0.901
-3.105 0.146 -1.692
-3.251 -1.691 2.045
-7.370 -4.495 -0.478
-5.603 -2.895 -1.931
-5.749 -4.732 1.806
-4.738 -4.223 -0.224
-4.116 -0.363 0.338
-4.743 -3.079 3.163
-4.111 -1.507 -3.049
```



VASP calculation (GGA-PBE) on a geometry-optimized LiRe2Mo structure.

Calculated values
**Space-group type**: No. 47
**ΔE to the lowest computed polymorph**: 0.60 eV per formula unit

POSCAR file:
```
LiRe2Mo
1.0
-0.094 -0.614 2.507
0.812 -4.041 -0.960
5.309 0.963 0.436
Li Mo Re
1 1 2
Cartesian
1.686 -2.087 0.882
4.341 -1.605 1.100
2.556 0.464 0.210
0.099 0.018 0.008
```



Question: What is the formula in the third record?
Answer: EuH2



Question: Which formula does entry 1 have?
Answer: ThPaTe4